VASP calculation (PBE) on a geometry-optimized BaRe2P structure.

It has space group F-43m (No. 216), with a = 6.762 Å, b = 6.762 Å, c = 6.762 Å, α = 90.00°, β = 90.00° and γ = 90.00°. Symmetry generates all atoms from Ba at (0.000, 0.000, 0.000), Re at (0.000, 0.000, 0.500), Re at (0.250, 0.250, 0.750) and P at (0.250, 0.250, 0.250).

The total energy is -108.54 eV per cell. The calculated formation energy comes out at 1.274 eV per atom.


VASP calculation (PBE) on a geometry-optimized AcPr2NdSm5 structure.

It has space group I4/mcm (No. 140), with a = 8.988 Å, b = 8.988 Å, c = 16.074 Å, α = 90.00°, β = 90.00° and γ = 90.00°. Symmetry generates all atoms from Ac at (0.000, 0.500, 0.250), Pr at (0.116, 0.384, 0.000), Nd at (0.000, 0.000, 0.250), Sm at (0.000, 0.000, 0.000) and Sm at (0.212, 0.288, 0.366).

The total energy is -158.86 eV per cell. The calculated formation energy comes out at 0.257 eV per atom.


VASP calculation (PBE) on a geometry-optimized BeCu2Os structure.

It has space group Cmmm (No. 65), with a = 2.736 Å, b = 4.314 Å, c = 8.227 Å, α = 90.00°, β = 90.00° and γ = 90.00°. Symmetry generates all atoms from Be at (0.000, 0.000, 0.000), Cu at (0.000, 0.500, 0.222) and Os at (0.000, 0.000, 0.500).

The total energy is -44.21 eV per cell. The calculated formation energy comes out at 0.261 eV per atom.


VASP calculation (PBE) on a geometry-optimized Cs3TiCl6 structure.

It has space group I4/mmm (No. 139), with a = 8.090 Å, b = 8.090 Å, c = 11.970 Å, α = 90.00°, β = 90.00° and γ = 90.00°. Symmetry generates all atoms from Cs at (0.000, 0.000, 0.000), Cs at (0.000, 0.500, 0.250), Ti at (0.000, 0.000, 0.500), Cl at (0.000, 0.000, 0.286) and Cl at (0.000, 0.297, 0.500).

The total energy is -78.95 eV per cell. The energy above the most stable polymorph in this dataset comes out at 73 meV/atom. The uncorrected formation energy is -1731 kJ/mol of formula units.


VASP calculation (PBE) on a geometry-optimized CaTl2Ag structure.

It has space group Pnma (No. 62), with a = 7.840 Å, b = 8.823 Å, c = 6.274 Å, α = 90.00°, β = 90.00° and γ = 90.00°. Symmetry generates all atoms from Ca at (0.022, 0.250, 0.084), Tl at (0.191, 0.038, 0.659) and Ag at (0.089, 0.750, 0.428).

The total energy is -41.44 eV per cell. The calculated formation energy comes out at -0.194 eV per atom.


VASP calculation (PBE) on a geometry-optimized KNiI structure.

It has space group P4/nmm (No. 129, origin choice 2), with a = 5.383 Å, b = 5.383 Å, c = 6.091 Å, α = 90.00°, β = 90.00° and γ = 90.00°. Symmetry generates all atoms from K at (0.250, 0.250, 0.072), Ni at (0.250, 0.250, 0.555) and I at (0.250, 0.750, 0.500).

The total energy is -16.38 eV per cell. The energy above the most stable polymorph in this dataset comes out at 399 meV/atom. The uncorrected formation energy is 23 kJ/mol of formula units.


VASP calculation (PBE) on a geometry-optimized DyErSc2 structure.

It has space group Fm-3m (No. 225), with a = 7.622 Å, b = 7.622 Å, c = 7.622 Å, α = 90.00°, β = 90.00° and γ = 90.00°. Symmetry generates all atoms from Dy at (0.000, 0.000, 0.000), Er at (0.000, 0.000, 0.500) and Sc at (0.250, 0.250, 0.250).

The total energy is -85.83 eV per cell. The calculated formation energy comes out at 0.093 eV per atom. The energy above the most stable polymorph in this dataset comes out at 51 meV/atom.


VASP calculation (PBE) on a geometry-optimized InTc structure.

It has space group R-3m (No. 166, hexagonal axes), with a = 4.0923 Å, b = 4.0923 Å, c = 18.3732 Å, α = 90.00°, β = 90.00° and γ = 120.00°. Symmetry generates all atoms from In at (0.0000, 0.0000, 0.1062) and Tc at (0.0000, 0.0000, 0.3426).

The total energy is -73.14 eV per cell. The calculated formation energy comes out at 0.458 eV per atom.